No. 1
VASP calculation (PBE-GGA) on an optimized crystal structure of Tm3Sc3ReTe2.

Computed properties:
Total magnetization = 0.001 μB per formula unit
Space-group type = P-62m, No. 189
Distance to the lowest polymorph of the same formula = 0.00 kcal/mol of atoms

a b c (Å): 7.862 7.862 4.064
angles (deg): 90.00 90.00 120.00
Sites, in units of the cell vectors:
Tm 0.000 0.386 0.000
Tm 0.386 0.000 0.000
Tm 0.614 0.614 0.000
Sc 0.000 0.769 0.500
Sc 0.231 0.231 0.500
Sc 0.769 0.000 0.500
Re 0.000 0.000 0.000
Te 0.333 0.667 0.500
Te 0.667 0.333 0.500



No. 2
VASP calculation (PBE-GGA) on an optimized crystal structure of KAs5Pd3.

Computed properties:
Space-group type = P6/mmm, No. 191

a b c (Å): 5.594 5.594 7.726
angles (deg): 90.00 90.00 120.00
Sites, in units of the cell vectors:
K 0.000 0.000 0.000
As 0.000 0.000 0.500
As 0.333 0.667 0.243
As 0.333 0.667 0.757
As 0.667 0.333 0.243
As 0.667 0.333 0.757
Pd 0.000 0.500 0.500
Pd 0.500 0.000 0.500
Pd 0.500 0.500 0.500



No. 3
VASP calculation (PBE-GGA) on an optimized crystal structure of GdMgCuTe3.

Computed properties:
Total magnetization = 0.002 μB per formula unit
Space-group type = Cmcm, No. 63
Distance to the lowest polymorph of the same formula = 0.00 kcal/mol of atoms

a b c (Å): 7.265 7.265 11.335
angles (deg): 90.00 90.00 147.00
Sites, in units of the cell vectors:
Gd 0.000 0.000 0.000
Gd 0.000 0.000 0.500
Mg 0.227 0.773 0.750
Mg 0.773 0.227 0.250
Cu 0.477 0.523 0.250
Cu 0.523 0.477 0.750
Te 0.100 0.900 0.250
Te 0.349 0.651 0.078
Te 0.349 0.651 0.422
Te 0.651 0.349 0.578
Te 0.651 0.349 0.922
Te 0.900 0.100 0.750



It is found that the total energy values, taken in the order of the records, are -57.2; -41.1; -24.1 eV per formula unit.
It is found that the theoretical density values, taken in the order of the records, are 8.3; 5.8; 6.4 g/cm³.